# BaIn2Pd (PBEsol, optimized geometry)
data_BaIn2Pd
_space_group_name_H-M_alt 'P 1'
_space_group_IT_number 1
_cell_length_a 6.170
_cell_length_b 6.170
_cell_length_c 7.975
_cell_angle_alpha 90.00
_cell_angle_beta 90.00
_cell_angle_gamma 136.70
loop_
_space_group_symop_operation_xyz
'x,y,z'
loop_
_atom_site_label
_atom_site_type_symbol
_atom_site_fract_x
_atom_site_fract_y
_atom_site_fract_z
Ba1 Ba 0.052 0.948 0.750
Ba2 Ba 0.948 0.052 0.250
In1 In 0.337 0.663 0.557
In2 In 0.337 0.663 0.943
In3 In 0.663 0.337 0.057
In4 In 0.663 0.337 0.443
Pd1 Pd 0.222 0.778 0.250
Pd2 Pd 0.778 0.222 0.750
# Crystal system ... orthorhombic
# Formation energy ... -57.1 kJ per mole of atoms
# Space-group type ... No. 63
# E_tot ... -0.151 hartree per atom
# ρ ... 7.550 Mg/m³